w.
Density functional theory data (GGA-PBE) for a geometry-optimized GeAsOs structure.

Lattice parameters (Å, degrees): 6.0167 6.0167 6.0167 90.00 90.00 90.00
Last column: nearest neighbours and their distance in Å.
Space group F-43m (No. 216)
Symmetry-distinct sites (fractional):
Ge  0.0000  0.0000  0.0000 x4  4 Os 2.61, 4 As 2.61
As  0.2500  0.2500  0.7500 x4  4 Ge 2.61
Os  0.2500  0.2500  0.2500 x4  4 Ge 2.61

## Properties
M_tot: 0.0 μB/f.u.


x.
Density functional theory data (GGA-PBE) for a geometry-optimized GeAsOs structure.

Lattice parameters (Å, degrees): 5.9812 5.9812 5.9812 90.00 90.00 90.00
Last column: nearest neighbours and their distance in Å.
Space group F-43m (No. 216)
Symmetry-distinct sites (fractional):
Ge  0.0000  0.0000  0.0000 x4  4 Os 2.59
As  0.0000  0.0000  0.5000 x4  4 Os 2.59
Os  0.2500  0.2500  0.7500 x4  4 Ge 2.59, 4 As 2.59

## Properties
M_tot: 0.0 μB/f.u.


Least stable: w


w.
Density functional theory data (GGA-PBE) for a geometry-optimized TcGeAs structure.

Lattice parameters (Å, degrees): 6.0512 6.0512 6.0512 90.00 90.00 90.00
Last column: nearest neighbours and their distance in Å.
Space group F-43m (No. 216)
Symmetry-distinct sites (fractional):
Tc  0.0000  0.0000  0.0000 x4  4 As 2.62
Ge  0.0000  0.0000  0.5000 x4  4 As 2.62
As  0.2500  0.2500  0.7500 x4  4 Ge 2.62, 4 Tc 2.62

## Properties
M_tot: 1.2 μB/f.u.


x.
Density functional theory data (GGA-PBE) for a geometry-optimized TcGeAs structure.

Lattice parameters (Å, degrees): 6.0069 6.0069 6.0069 90.00 90.00 90.00
Last column: nearest neighbours and their distance in Å.
Space group F-43m (No. 216)
Symmetry-distinct sites (fractional):
Tc  0.0000  0.0000  0.0000 x4  4 Ge 2.60, 4 As 2.60
Ge  0.2500  0.2500  0.7500 x4  4 Tc 2.60
As  0.2500  0.2500  0.2500 x4  4 Tc 2.60

## Properties
M_tot: 0.0 μB/f.u.


Least stable: w


w.
Density functional theory data (GGA-PBE) for a geometry-optimized ZnGeAs2 structure.

Lattice parameters (Å, degrees): 6.6886 6.6886 6.6886 90.00 90.00 90.00
Last column: nearest neighbours and their distance in Å.
Space group F-43m (No. 216)
Symmetry-distinct sites (fractional):
Zn  0.0000  0.0000  0.0000 x4  4 Ge 2.90, 4 As 2.90
Ge  0.2500  0.2500  0.7500 x4  4 As 2.90, 4 Zn 2.90
As  0.0000  0.0000  0.5000 x4  4 Ge 2.90, 4 As 2.90
As  0.2500  0.2500  0.2500 x4  4 As 2.90, 4 Zn 2.90


x.
Density functional theory data (GGA-PBE) for a geometry-optimized ZnGeAs2 structure.

Lattice parameters (Å, degrees): 5.7578 5.7578 11.3245 90.00 90.00 90.00
Last column: nearest neighbours and their distance in Å.
Space group I-42d (No. 122)
Symmetry-distinct sites (fractional):
Zn  0.0000  0.0000  0.0000 x4  4 As 2.48
Ge  0.0000  0.0000  0.5000 x4  4 As 2.48
As  0.2492  0.2500  0.6250 x8  2 Ge 2.48, 2 Zn 2.48


Least stable: w


w.
Density functional theory data (GGA-PBE) for a geometry-optimized HfNiHgAs structure.

Lattice parameters (Å, degrees): 6.5507 6.5507 6.5507 90.00 90.00 90.00
Last column: nearest neighbours and their distance in Å.
Space group F-43m (No. 216)
Symmetry-distinct sites (fractional):
Hf  0.0000  0.0000  0.0000 x4  4 Hg 2.84, 4 As 2.84
Ni  0.0000  0.0000  0.5000 x4  4 As 2.84, 4 Hg 2.84
Hg  0.2500  0.2500  0.7500 x4  4 Hf 2.84, 4 Ni 2.84
As  0.2500  0.2500  0.2500 x4  4 Hf 2.84, 4 Ni 2.84

## Properties
M_tot: 0.1 μB/f.u.


x.
Density functional theory data (GGA-PBE) for a geometry-optimized HfNiHgAs structure.

Lattice parameters (Å, degrees): 6.6406 6.6406 6.6406 90.00 90.00 90.00
Last column: nearest neighbours and their distance in Å.
Space group F-43m (No. 216)
Symmetry-distinct sites (fractional):
Hf  0.0000  0.0000  0.0000 x4  4 Hg 2.88, 4 Ni 2.88
Ni  0.2500  0.2500  0.7500 x4  4 Hf 2.88, 4 As 2.88
Hg  0.2500  0.2500  0.2500 x4  4 As 2.88, 4 Hf 2.88
As  0.0000  0.0000  0.5000 x4  4 Ni 2.88, 4 Hg 2.88

## Properties
M_tot: 0.0 μB/f.u.


Least stable: x